This record from Alexandria via LeMat-Bulk describes an optimized crystal structure of LiCuPO4. The functional is PBE.

Values from the calculation:
As for the symmetry: P-1. The uncorrected formation energy is -1775 meV/atom. Its energy above the most stable polymorph in this dataset is 32 meV per atom. The total energy comes out at -174.70 eV for the cell shown.

extended XYZ file:
```
28
Lattice="5.780 0.000 0.000 1.191 5.954 0.000 1.410 1.913 8.980" Properties=species:S:1:pos:R:3 pbc="T T T"
Li 1.209 0.491 2.060
Li 2.783 1.985 4.770
Li 5.598 5.882 4.210
Li 7.172 7.376 6.920
Cu 2.350 3.368 2.256
Cu 3.193 3.601 7.622
Cu 5.188 4.266 1.357
Cu 6.031 4.499 6.724
P 2.685 5.101 4.971
P 4.229 6.486 8.324
P 4.152 1.381 0.655
P 5.696 2.766 4.009
O 1.250 2.180 3.381
O 2.423 4.906 3.444
O 3.148 5.427 8.051
O 2.477 1.861 7.763
O 2.976 3.726 5.649
O 3.021 4.707 0.910
O 3.837 6.078 5.164
O 2.746 1.719 1.242
O 5.635 6.148 7.738
O 4.544 1.789 3.816
O 5.360 3.160 8.070
O 5.405 4.141 3.331
O 5.904 6.006 1.217
O 5.233 2.440 0.929
O 5.958 2.962 5.536
O 7.131 5.687 5.599
```